Material: Ta3Mo
Method: DFT, GGA-PBEsol
State: optimized geometry

space group = Cm, No. 8
calculated formation energy = -0.063 eV/atom
excess energy over the best structure of this formula in the dataset = 0.042 eV per atom

POSCAR file:
```
Ta3Mo
1.0
-6.123 1.990 0.686
-2.015 -6.109 0.733
0.896 0.492 6.392
Ta Mo
12 4
Direct
0.495 0.005 0.997 Ta
0.754 0.246 0.747 Ta
0.248 0.248 0.253 Ta
0.005 0.496 0.503 Ta
0.751 0.751 0.252 Ta
0.246 0.754 0.747 Ta
0.005 0.495 0.997 Ta
0.752 0.752 0.747 Ta
0.496 0.005 0.503 Ta
0.498 0.498 0.997 Ta
0.753 0.246 0.252 Ta
0.246 0.753 0.252 Ta
0.000 0.000 0.502 Mo
0.000 0.000 0.000 Mo
0.501 0.501 0.500 Mo
0.250 0.250 0.749 Mo
```